1.
Here is an optimized crystal structure of Na2Li2SnO4 from Alexandria. Energies are from PBE-GGA.

Values from the calculation:
Total moment   0.000 Bohr magnetons per cell
E_tot   -5.106 eV/atom

CIF file:
```
data_Na2Li2SnO4
_symmetry_space_group_name_H-M 'C 1 2/m 1'
_symmetry_Int_Tables_number 12
_cell_length_a 11.139
_cell_length_b 3.235
_cell_length_c 7.835
_cell_angle_alpha 90.00
_cell_angle_beta 128.01
_cell_angle_gamma 90.00
loop_
_symmetry_equiv_pos_as_xyz
'x,y,z'
'-x,-y,-z'
'-x,y,-z'
'x,-y,z'
'x+1/2,y+1/2,z'
'-x+1/2,-y+1/2,-z'
'-x+1/2,y+1/2,-z'
'x+1/2,-y+1/2,z'
loop_
_atom_site_label
_atom_site_fract_x
_atom_site_fract_y
_atom_site_fract_z
Na1 0.178 0.000 0.286
Li1 0.157 0.500 0.883
Sn1 0.000 0.000 0.500
O1 0.062 0.500 0.382
O2 0.213 0.000 0.801
```


2.
Here is an optimized crystal structure of NaLi2SnO4 from Alexandria. Energies are from PBE-GGA.

Values from the calculation:
Total moment   2.062 Bohr magnetons per cell
E_tot   -5.109 eV/atom

CIF file:
```
data_NaLi2SnO4
_symmetry_space_group_name_H-M 'I -4 2 m'
_symmetry_Int_Tables_number 121
_symmetry_space_group_name_Hall 'I -4 2'
_cell_length_a 5.298
_cell_length_b 5.298
_cell_length_c 7.244
_cell_angle_alpha 90.00
_cell_angle_beta 90.00
_cell_angle_gamma 90.00
loop_
_atom_site_label
_atom_site_fract_x
_atom_site_fract_y
_atom_site_fract_z
Na1 0.000 0.000 0.000
Li1 0.000 0.500 0.250
Sn1 0.000 0.000 0.500
O1 0.222 0.222 0.651
```


3.
Here is an optimized crystal structure of Na2LiSn2O6 from Alexandria. Energies are from PBE-GGA.

Values from the calculation:
Total moment   2.212 Bohr magnetons per cell
E_tot   -5.412 eV/atom

CIF file:
```
data_Na2LiSn2O6
_symmetry_space_group_name_H-M 'C 1 2/m 1'
_symmetry_Int_Tables_number 12
_cell_length_a 5.415
_cell_length_b 9.708
_cell_length_c 5.759
_cell_angle_alpha 90.00
_cell_angle_beta 105.43
_cell_angle_gamma 90.00
loop_
_symmetry_equiv_pos_as_xyz
'x,y,z'
'-x,-y,-z'
'-x,y,-z'
'x,-y,z'
'x+1/2,y+1/2,z'
'-x+1/2,-y+1/2,-z'
'-x+1/2,y+1/2,-z'
'x+1/2,-y+1/2,z'
loop_
_atom_site_label
_atom_site_fract_x
_atom_site_fract_y
_atom_site_fract_z
Na1 0.000 0.154 0.000
Li1 0.000 0.000 0.500
Sn1 0.000 0.337 0.500
O1 0.223 0.500 0.689
O2 0.234 0.183 0.706
```


4.
Here is an optimized crystal structure of NaLi3Ta4O12 from Alexandria. Energies are from PBE-GGA.

Values from the calculation:
Total moment   0.000 Bohr magnetons per cell
E_tot   -8.379 eV/atom

CIF file:
```
data_NaLi3Ta4O12
_symmetry_space_group_name_H-M 'I m -3'
_symmetry_Int_Tables_number 204
_symmetry_space_group_name_Hall '-I 2 2 3'
_cell_length_a 7.643
_cell_length_b 7.643
_cell_length_c 7.643
_cell_angle_alpha 90.00
_cell_angle_beta 90.00
_cell_angle_gamma 90.00
loop_
_atom_site_label
_atom_site_fract_x
_atom_site_fract_y
_atom_site_fract_z
Na1 0.000 0.000 0.000
Li1 0.000 0.000 0.500
Ta1 0.250 0.250 0.250
O1 0.000 0.191 0.298
```


ΔE_f (raw), record by record: -1739 -1486 -1566 -2680 meV per atom